Ce2PdPb | PBE | relaxed

Cell lengths 4.0164, 4.0164, 25.0764 Å; angles 90.00, 90.00, 120.00 degrees
Space group R-3m (No. 166, hexagonal axes)
Asymmetric unit:
Ce 0.0000 0.0000 0.2372 (multiplicity 6)
Pd 0.0000 0.0000 0.5000 (multiplicity 3)
Pb 0.0000 0.0000 0.0000 (multiplicity 3)

Results
The formation energy is -8.65 kcal/mol of atoms. The value obtained for the density of states at the Fermi level is 2.991 states/eV per atom.